Ga2H2Ru, relaxed, DFT GGA-PBE; total magnetic moment = 0.0 Bohr magnetons per cell; density of states at the Fermi level = 2.86 states/eV/cell; SG = I4/mmm, No. 139; relative energy among the computed polymorphs = 129 meV/atom; final energy = -4.163 eV per atom
1.0
2.889 0.000 0.000
0.000 2.889 0.000
1.445 1.445 6.319
H Ru Ga
2 1 2
Cartesian
1.445 2.889 3.160
2.889 1.445 3.160
0.000 0.000 0.000
2.889 2.889 4.666
1.445 1.445 1.653



GaH2Ru, relaxed, DFT GGA-PBE; total magnetic moment = 0.0 Bohr magnetons per cell; density of states at the Fermi level = 1.08 states/eV/cell; SG = R3m, No. 160; relative energy among the computed polymorphs = 40 meV/atom; final energy = -4.709 eV per atom
1.0
3.079 0.000 0.000
1.540 2.667 0.000
1.540 0.889 4.590
Ru Ga H
1 1 2
Cartesian
4.619 2.667 4.399
3.079 1.778 2.391
1.540 0.889 4.101
1.540 0.889 0.584



Ga3HRu, relaxed, DFT GGA-PBE; total magnetic moment = 0.9 Bohr magnetons per cell; density of states at the Fermi level = 2.34 states/eV/cell; SG = Pm-3m, No. 221; relative energy among the computed polymorphs = 87 meV/atom; final energy = -4.019 eV per atom
1.0
4.838 0.000 0.000
0.000 4.838 0.000
0.000 0.000 4.838
Ga Ru H
3 1 1
Cartesian
0.000 0.000 2.419
0.000 2.419 0.000
2.419 0.000 0.000
0.000 0.000 0.000
2.419 2.419 2.419



Ga2H2Ru, relaxed, DFT GGA-PBE; total magnetic moment = 0.0 Bohr magnetons per cell; density of states at the Fermi level = 0.89 states/eV/cell; SG = P4/mbm, No. 127; relative energy among the computed polymorphs = 0 meV/atom; final energy = -4.292 eV per atom
1.0
-1.536 2.957 -3.961
3.834 -1.905 -2.909
-2.446 -2.977 -1.274
H Ru Ga
4 2 4
Cartesian
2.510 -0.681 -3.227
0.618 0.224 -1.709
-0.212 1.733 -3.643
1.681 0.828 -5.161
1.149 0.526 -3.435
0.000 0.000 0.000
-1.027 -0.883 -2.429
-1.254 0.327 -4.819
1.107 -2.252 -3.325
0.880 -1.042 -5.715



GaH2Ru, relaxed, DFT GGA-PBE; total magnetic moment = 0.0 Bohr magnetons per cell; density of states at the Fermi level = 2.96 states/eV/cell; SG = Pmmn, No. 59; relative energy among the computed polymorphs = 0 meV/atom; final energy = -4.748 eV per atom
1.0
3.075 0.000 0.000
0.000 5.389 0.000
0.000 0.000 4.321
H Ru Ga
4 2 2
Cartesian
1.537 1.971 3.262
1.537 1.971 1.060
0.000 3.418 1.101
0.000 3.418 3.220
0.000 1.806 0.000
1.537 3.583 2.161
1.537 5.040 0.000
0.000 0.349 2.161



Ga3HRu, relaxed, DFT GGA-PBE; total magnetic moment = 0.0 Bohr magnetons per cell; density of states at the Fermi level = 0.88 states/eV/cell; SG = Pm-3m, No. 221; relative energy among the computed polymorphs = 0 meV/atom; final energy = -4.106 eV per atom
1.0
-3.750 -1.424 -0.282
0.482 -0.485 -3.963
1.369 -3.729 0.623
Ga H Ru
3 1 1
Cartesian
-1.875 -0.712 -0.141
0.685 -1.865 0.311
0.241 -0.242 -1.981
0.000 0.000 0.000
-0.949 -2.819 -1.811



GaH2Ru2, relaxed, DFT GGA-PBE; total magnetic moment = 0.0 Bohr magnetons per cell; density of states at the Fermi level = 8.39 states/eV/cell; SG = P4/mbm, No. 127; relative energy among the computed polymorphs = 226 meV/atom; final energy = -5.454 eV per atom
1.0
5.553 0.000 0.000
0.000 5.553 0.000
0.000 0.000 3.298
Ga Ru H
2 4 4
Cartesian
2.777 2.777 0.000
0.000 0.000 0.000
0.957 3.734 1.649
1.819 0.957 1.649
4.596 1.819 1.649
3.734 4.596 1.649
1.372 4.149 0.000
4.181 1.404 0.000
4.149 4.181 0.000
1.404 1.372 0.000



GaH2Ru, relaxed, DFT GGA-PBE; total magnetic moment = 0.0 Bohr magnetons per cell; density of states at the Fermi level = 1.32 states/eV/cell; SG = Fm-3m, No. 225; relative energy among the computed polymorphs = 628 meV/atom; final energy = -4.120 eV per atom
1.0
0.296 -2.143 2.984
-0.284 1.477 3.365
-2.968 -0.694 2.072
Ga H Ru
1 2 1
Cartesian
0.000 0.000 0.000
-2.217 -1.020 6.315
-0.739 -0.340 2.105
-1.478 -0.680 4.210



ScGaHRu2, relaxed, DFT GGA-PBE; total magnetic moment = 0.0 Bohr magnetons per cell; density of states at the Fermi level = 3.39 states/eV/cell; SG = P4/mmm, No. 123; final energy = -6.616 eV per atom
1.0
-3.739 1.424 -0.547
-1.161 -1.715 3.467
0.953 3.244 1.924
Ru Sc H Ga
2 1 1 1
Cartesian
-0.580 -0.858 1.734
-1.870 0.712 -0.274
0.477 1.622 0.962
0.000 0.000 0.000
-1.973 1.476 2.422



GaSiH2Ru, relaxed, DFT GGA-PBE; total magnetic moment = 0.4 Bohr magnetons per cell; density of states at the Fermi level = 3.18 states/eV/cell; SG = P4/mmm, No. 123; final energy = -4.258 eV per atom
1.0
3.434 0.000 0.000
0.000 3.434 0.000
0.000 0.000 5.433
Ga H Ru Si
1 2 1 1
Cartesian
0.000 0.000 2.717
1.717 0.000 0.000
0.000 1.717 0.000
1.717 1.717 2.717
0.000 0.000 0.000



SmGa2HRu2, relaxed, DFT GGA-PBE; total magnetic moment = 0.0 Bohr magnetons per cell; density of states at the Fermi level = 4.04 states/eV/cell; SG = P4/mmm, No. 123; final energy = -5.875 eV per atom
1.0
4.154 0.000 0.000
0.000 4.154 0.000
0.000 0.000 5.330
Ru Ga Sm H
2 2 1 1
Cartesian
2.077 0.000 0.000
0.000 2.077 0.000
2.077 2.077 3.905
2.077 2.077 1.426
0.000 0.000 2.665
0.000 0.000 0.000



SrGaHRu2, relaxed, DFT GGA-PBE; total magnetic moment = 2.6 Bohr magnetons per cell; density of states at the Fermi level = 3.99 states/eV/cell; SG = P4/mmm, No. 123; final energy = -4.140 eV per atom
1.0
-4.370 0.563 -1.232
-0.997 -5.590 0.983
-1.099 0.958 4.336
Sr H Ru Ga
1 1 2 1
Cartesian
-0.499 -2.795 0.491
-3.233 -2.035 2.044
-0.549 0.479 2.168
-2.185 0.282 -0.616
0.000 0.000 0.000



- total magnetic moment of number 4 (Ga2H2Ru)?
  0.0 Bohr magnetons per cell



- Number 9 is which compound?
  ScGaHRu2



Copy entry 12 word for word.
SrGaHRu2, relaxed, DFT GGA-PBE; total magnetic moment = 2.6 Bohr magnetons per cell; density of states at the Fermi level = 3.99 states/eV/cell; SG = P4/mmm, No. 123; final energy = -4.140 eV per atom
1.0
-4.370 0.563 -1.232
-0.997 -5.590 0.983
-1.099 0.958 4.336
Sr H Ru Ga
1 1 2 1
Cartesian
-0.499 -2.795 0.491
-3.233 -2.035 2.044
-0.549 0.479 2.168
-2.185 0.282 -0.616
0.000 0.000 0.000



- Which formula does entry 5 have?
  GaH2Ru